Material: VIrO2
Method: DFT, GGA+U
State: optimized geometry

Results
- Magnetization: 9.34 μB per cell
- Offset from the most stable computed form: 0.8193 eV per atom
- Total DFT energy (no corrections): -0.2518 hartree per atom

Lattice parameters (Å, degrees): 3.2749 3.2749 17.3683 90.00 90.00 120.00
Space group R-3m (No. 166, hexagonal axes)
Unique sites:
V1 0.0000 0.0000 0.0000 [3 per cell]
Ir1 0.0000 0.0000 0.5000 [3 per cell]
O1 0.0000 0.0000 0.1163 [6 per cell]